ErPaCr2O8, optimized geometry, DFT PBE with a Hubbard U; final energy = -99.44 eV/f.u.; space-group type = I-4m2, No. 119; crystal system = tetragonal
1.0
5.966 0.107 0.000
-2.550 5.394 0.000
-1.708 -2.751 5.012
Er Pa Cr O
1 1 2 8
Direct
0.250 0.750 0.500
0.000 0.000 0.000
0.750 0.250 0.500
0.500 0.500 0.000
0.377 0.065 0.312
0.307 0.489 0.182
0.307 0.126 0.818
0.753 0.065 0.688
0.874 0.693 0.182
0.935 0.247 0.312
0.935 0.623 0.688
0.511 0.693 0.818